## BiH3 (PBE)

Data for a relaxed BiH3 crystal.

a b c (Å): 3.9716 3.9716 3.9716
angles (deg): 126.83 126.83 78.52
Fractional coordinates of all 4 atoms:
Bi  0.0000  0.0000  0.0000
H  0.2500  0.7500  0.5000
H  0.7500  0.2500  0.5000
H  0.5000  0.5000  0.0000

N(E_F) ... 0.44 states/eV/f.u.
SG ... No. 139
Electronic total energy ... -2.7540 eV/atom
Total magnetic moment ... 0.0 μB per formula unit
Calculated density ... 9.06 g/cm3

## UTcSn2 (PBE)

Data for a relaxed UTcSn2 crystal.

a b c (Å): 3.1141 3.1141 10.7794
angles (deg): 81.69 81.69 60.00
Fractional coordinates of all 4 atoms:
Tc  0.5000  0.5000  0.5000
Sn  0.0997  0.0997  0.7010
U  0.0000  0.0000  0.0000
Sn  0.9003  0.9003  0.2990

ΔE_f ... 1.5 eV/f.u.
N(E_F) ... 8.90 states/eV/f.u.
SG ... No. 166
Electronic total energy ... -7.0318 eV/atom
Total magnetic moment ... 2.5 μB per formula unit
Calculated density ... 10.67 g/cm3
Distance to the lowest polymorph of the same formula ... 0.384 eV per atom

## PmSb2Pb (PBE)

Data for a relaxed PmSb2Pb crystal.

a b c (Å): 5.5257 5.5257 5.5257
angles (deg): 60.00 60.00 60.00
Fractional coordinates of all 4 atoms:
Sb  0.2500  0.2500  0.2500
Pm  0.5000  0.5000  0.5000
Pb  0.0000  0.0000  0.0000
Sb  0.7500  0.7500  0.7500

N(E_F) ... 1.95 states/eV/f.u.
SG ... No. 225
Electronic total energy ... -4.5488 eV/atom
Total magnetic moment ... 0.0 μB per formula unit
Calculated density ... 8.29 g/cm3
Raw formation energy ... -0.37 eV per atom
Distance to the lowest polymorph of the same formula ... 0.132 eV per atom